# 1
Computed, not measured: a geometry-optimized Nd6GeIr2Cl3 structure at the PBE level of DFT.

Structure (extended XYZ):
```
12
Lattice="-1.8519 -3.6286 0.9112 3.0710 -3.4573 -7.5264 7.5317 0.1238 6.2384" Properties=species:S:1:pos:R:3 pbc="T T T"
Cl 4.6711 -3.4383 -4.1986
Cl 4.0797 -3.5237 3.8217
Cl 0.6095 -3.5429 -3.3076
Nd 1.5790 -2.7755 1.7188
Nd 0.9597 -0.8960 -1.6177
Nd 3.1334 -4.3608 -1.4351
Nd 7.7911 -6.0660 1.2409
Nd 7.1717 -4.1865 -2.0957
Nd 5.6174 -2.6012 1.0582
Ir 3.2751 -1.7470 -0.3006
Ir 5.4756 -5.2150 -0.0762
Ge -0.9259 -1.8143 0.4556
```

Calculated values
The value obtained for the volume is 337.49 Å³/f.u. Its density is 7.0 g cm⁻³. For the uncorrected formation energy, the calculation gives -1.195 eV per atom.



# 2
Computed, not measured: a geometry-optimized GePIrCl2 structure at the PBE level of DFT.

Structure (extended XYZ):
```
5
Lattice="-2.8183 4.0334 -0.0898 -0.0133 -0.1188 -4.9198 -3.7246 -2.6009 0.0729" Properties=species:S:1:pos:R:3 pbc="T T T"
Ir 0.0000 0.0000 0.0000
P -1.8623 -1.3005 0.0364
Ge -3.2781 0.6568 -2.4684
Cl -0.0066 -0.0594 -2.4599
Cl -1.4091 2.0167 -0.0449
```

Calculated values
The value obtained for the volume is 110.04 Å³/f.u. Its density is 5.5 g cm⁻³. For the energy relative to the lowest polymorph listed for this composition, the calculation gives 0 meV/atom. For the uncorrected formation energy, the calculation gives 0.405 eV per atom.



# 3
Computed, not measured: a geometry-optimized GePIrCl2 structure at the PBE level of DFT.

Structure (extended XYZ):
```
5
Lattice="4.6339 0.0000 0.0000 0.0000 4.6339 0.0000 0.0000 0.0000 5.1455" Properties=species:S:1:pos:R:3 pbc="T T T"
P 0.0000 0.0000 2.5728
Ir 2.3170 2.3170 2.5728
Ge 0.0000 0.0000 0.0000
Cl 2.3170 0.0000 0.0000
Cl 0.0000 2.3170 0.0000
```

Calculated values
The value obtained for the volume is 110.49 Å³/f.u. Its density is 5.5 g cm⁻³. For the energy relative to the lowest polymorph listed for this composition, the calculation gives 671 meV/atom. For the uncorrected formation energy, the calculation gives 1.076 eV per atom.



# 4
Computed, not measured: a geometry-optimized GeIrPd2Cl structure at the PBE level of DFT.

Structure (extended XYZ):
```
5
Lattice="-4.3780 -1.6513 -1.8066 1.8676 -3.8931 -0.9675 -1.2284 -1.7197 4.5487" Properties=species:S:1:pos:R:3 pbc="T T T"
Ge -1.8694 -3.6320 0.8873
Cl 0.9338 -1.9465 -0.4837
Pd -2.1890 -0.8257 -0.9033
Pd -0.6142 -0.8599 2.2744
Ir 0.0000 0.0000 0.0000
```

Calculated values
The value obtained for the volume is 111.32 Å³/f.u. Its density is 7.7 g cm⁻³. For the uncorrected formation energy, the calculation gives 0.891 eV per atom.



# 5
Computed, not measured: a geometry-optimized Pm6GeIr2Cl3 structure at the PBE level of DFT.

Structure (extended XYZ):
```
12
Lattice="4.1452 0.0000 0.0000 0.0000 8.7622 0.0500 -2.0726 -2.7945 9.0829" Properties=species:S:1:pos:R:3 pbc="T T T"
Pm 0.0000 2.0426 0.3094
Pm 2.0726 0.1593 2.9394
Pm 0.0000 5.8084 6.1935
Pm 0.0000 1.9953 5.9111
Pm 2.0726 3.9251 8.8235
Pm 2.0726 3.9724 3.2218
Cl 2.0726 -0.5127 6.2165
Cl 2.0726 4.3811 0.0250
Cl 0.0000 6.4804 2.9164
Ir 0.0000 2.0506 3.0873
Ir 2.0726 3.9171 6.0456
Ge 2.0726 0.0000 0.0000
```

Calculated values
The value obtained for the volume is 330.48 Å³/f.u. Its density is 7.2 g cm⁻³. For the uncorrected formation energy, the calculation gives -1.201 eV per atom.



# 6
Computed, not measured: a geometry-optimized Pr6Ge2IrCl3 structure at the PBE level of DFT.

Structure (extended XYZ):
```
12
Lattice="4.2356 0.0000 0.0000 0.0000 8.7474 0.3905 -2.1178 -2.4367 9.0142" Properties=species:S:1:pos:R:3 pbc="T T T"
Pr 0.0000 6.2176 6.5693
Pr 2.1178 0.0931 2.8354
Pr 2.1178 4.1932 3.3193
Pr 0.0000 2.1176 6.0854
Pr 0.0000 1.9602 0.1410
Pr 2.1178 4.3505 9.2638
Cl 0.0000 6.4911 3.4778
Cl 2.1178 4.3737 0.1953
Cl 2.1178 -0.1804 5.9269
Ge 0.0000 2.1655 3.1126
Ge 2.1178 4.1452 6.2921
Ir 2.1178 0.0000 0.0000
```

Calculated values
The value obtained for the volume is 338.01 Å³/f.u. Its density is 6.3 g cm⁻³. For the uncorrected formation energy, the calculation gives -1.204 eV per atom.